No. 1
SmScNbN3 | PBE-GGA | optimized geometry

Unit cell a=5.706 b=3.307 c=8.472 alpha=90.00 beta=103.85 gamma=90.00
Fractional coordinates of all 12 atoms:
Sm1 0.158 0.250 0.193
Sm2 0.842 0.750 0.807
Sc1 0.273 0.750 0.543
Sc2 0.727 0.250 0.457
Nb1 0.360 0.250 0.856
Nb2 0.640 0.750 0.144
N1 0.057 0.250 0.666
N2 0.254 0.750 0.987
N3 0.466 0.750 0.344
N4 0.534 0.250 0.656
N5 0.746 0.250 0.013
N6 0.943 0.750 0.334

Results
DOS at the Fermi energy   0.3802 states/eV per atom
Density   7.1 g/cm³
Formation energy without anion corrections   -1.407 eV per atom
Final energy   -9.09 eV/atom

No. 2
ScTaNb2N4 | PBE-GGA | optimized geometry

Unit cell a=5.410 b=3.150 c=5.459 alpha=90.00 beta=109.25 gamma=90.00
Fractional coordinates of all 8 atoms:
Sc1 0.000 0.000 0.000
Ta1 0.500 0.500 0.000
Nb1 0.000 0.500 0.500
Nb2 0.500 0.000 0.500
N1 0.251 0.500 0.241
N2 0.256 0.000 0.761
N3 0.744 0.000 0.239
N4 0.749 0.500 0.759

Results
DOS at the Fermi energy   0.3600 states/eV per atom
Density   8.8 g/cm³
Formation energy without anion corrections   -1.226 eV per atom
Final energy   -10.18 eV/atom

No. 3
Sc2TaNbN4 | PBE-GGA | optimized geometry

Unit cell a=5.437 b=3.123 c=5.508 alpha=90.00 beta=109.01 gamma=90.00
Fractional coordinates of all 8 atoms:
Sc1 0.000 0.000 0.000
Sc2 0.500 0.500 0.000
Ta1 0.000 0.500 0.500
Nb1 0.500 0.000 0.500
N1 0.243 0.000 0.746
N2 0.244 0.500 0.251
N3 0.756 0.500 0.749
N4 0.757 0.000 0.254

Results
DOS at the Fermi energy   0.3989 states/eV per atom
Density   7.9 g/cm³
Formation energy without anion corrections   -1.521 eV per atom
Final energy   -10.01 eV/atom

No. 4
ScTa2NbN4 | PBE-GGA | optimized geometry

Unit cell a=5.410 b=3.150 c=5.444 alpha=90.00 beta=109.42 gamma=90.00
Fractional coordinates of all 8 atoms:
Sc1 0.000 0.000 0.000
Ta1 0.500 0.000 0.500
Ta2 0.500 0.500 0.000
Nb1 0.000 0.500 0.500
N1 0.257 0.500 0.247
N2 0.259 0.000 0.758
N3 0.741 0.000 0.242
N4 0.743 0.500 0.753

Results
DOS at the Fermi energy   0.3124 states/eV per atom
Density   10.5 g/cm³
Formation energy without anion corrections   -1.222 eV per atom
Final energy   -10.40 eV/atom

No. 5
ScTiNb2N4 | PBE-GGA | optimized geometry

Unit cell a=5.381 b=3.097 c=5.439 alpha=90.00 beta=109.24 gamma=90.00
Fractional coordinates of all 8 atoms:
Sc1 0.000 0.000 0.000
Ti1 0.500 0.500 0.000
Nb1 0.000 0.500 0.500
Nb2 0.500 0.000 0.500
N1 0.253 0.500 0.243
N2 0.260 0.000 0.762
N3 0.740 0.000 0.238
N4 0.747 0.500 0.757

Results
DOS at the Fermi energy   0.3046 states/eV per atom
Density   6.5 g/cm³
Formation energy without anion corrections   -1.405 eV per atom
Final energy   -9.86 eV/atom

No. 6
ScTi2NbN4 | PBE-GGA | optimized geometry

Unit cell a=5.331 b=3.074 c=5.345 alpha=90.00 beta=109.03 gamma=90.00
Fractional coordinates of all 8 atoms:
Sc1 0.000 0.000 0.000
Ti1 0.500 0.000 0.500
Ti2 0.500 0.500 0.000
Nb1 0.000 0.500 0.500
N1 0.263 0.500 0.254
N2 0.264 0.000 0.756
N3 0.736 0.000 0.244
N4 0.737 0.500 0.746

Results
DOS at the Fermi energy   0.4302 states/eV per atom
Density   5.8 g/cm³
Formation energy without anion corrections   -1.584 eV per atom
Final energy   -9.77 eV/atom

No. 7
Sc3TiNb3N8 | PBE-GGA | optimized geometry

Unit cell a=6.302 b=6.302 c=6.302 alpha=58.71 beta=58.71 gamma=58.71
Fractional coordinates of all 15 atoms:
Sc1 0.000 0.500 0.500
Sc2 0.500 0.000 0.500
Sc3 0.500 0.500 0.000
Ti1 0.500 0.500 0.500
Nb1 0.000 0.000 0.500
Nb2 0.000 0.500 0.000
Nb3 0.500 0.000 0.000
N1 0.251 0.251 0.251
N2 0.256 0.737 0.737
N3 0.263 0.263 0.744
N4 0.263 0.744 0.263
N5 0.737 0.256 0.737
N6 0.737 0.737 0.256
N7 0.744 0.263 0.263
N8 0.749 0.749 0.749

Results
DOS at the Fermi energy   0.1039 states/eV per atom
Density   5.5 g/cm³
Formation energy without anion corrections   -1.439 eV per atom
Final energy   -9.69 eV/atom

No. 8
TmSc2NbN4 | PBE-GGA | optimized geometry

Unit cell a=5.572 b=3.209 c=5.596 alpha=90.00 beta=109.18 gamma=90.00
Fractional coordinates of all 8 atoms:
Tm1 0.000 0.000 0.000
Sc1 0.500 0.000 0.500
Sc2 0.500 0.500 0.000
Nb1 0.000 0.500 0.500
N1 0.251 0.000 0.743
N2 0.254 0.500 0.263
N3 0.746 0.500 0.737
N4 0.749 0.000 0.257

Results
DOS at the Fermi energy   0.2859 states/eV per atom
Density   7.2 g/cm³
Formation energy without anion corrections   -1.670 eV per atom
Final energy   -9.23 eV/atom

No. 9
TmScNb2N4 | PBE-GGA | optimized geometry

Unit cell a=5.527 b=3.178 c=5.603 alpha=90.00 beta=109.00 gamma=90.00
Fractional coordinates of all 8 atoms:
Tm1 0.000 0.000 0.000
Sc1 0.500 0.500 0.000
Nb1 0.000 0.500 0.500
Nb2 0.500 0.000 0.500
N1 0.255 0.000 0.745
N2 0.260 0.500 0.259
N3 0.740 0.500 0.741
N4 0.745 0.000 0.255

Results
DOS at the Fermi energy   0.4099 states/eV per atom
Density   8.1 g/cm³
Formation energy without anion corrections   -1.452 eV per atom
Final energy   -9.48 eV/atom

No. 10
Sc2UNb3N6 | PBE-GGA | optimized geometry

Unit cell a=5.564 b=5.564 c=5.527 alpha=99.61 beta=99.61 gamma=120.20
Fractional coordinates of all 12 atoms:
Sc1 0.166 0.834 0.000
Sc2 0.834 0.166 0.000
U1 0.500 0.500 0.000
Nb1 0.000 0.000 0.500
Nb2 0.324 0.676 0.500
Nb3 0.676 0.324 0.500
N1 0.081 0.417 0.752
N2 0.250 0.250 0.254
N3 0.417 0.081 0.752
N4 0.583 0.919 0.248
N5 0.750 0.750 0.746
N6 0.919 0.583 0.248

Results
DOS at the Fermi energy   0.5387 states/eV per atom
Density   8.2 g/cm³
Formation energy without anion corrections   -1.436 eV per atom
Final energy   -10.11 eV/atom

No. 11
ScUNbN3 | PBE-GGA | optimized geometry

Unit cell a=6.738 b=3.165 c=8.067 alpha=90.00 beta=97.14 gamma=90.00
Fractional coordinates of all 12 atoms:
Sc1 0.141 0.250 0.128
Sc2 0.859 0.750 0.872
U1 0.343 0.750 0.820
U2 0.657 0.250 0.180
Nb1 0.359 0.750 0.419
Nb2 0.641 0.250 0.581
N1 0.097 0.250 0.864
N2 0.318 0.250 0.594
N3 0.377 0.750 0.131
N4 0.623 0.250 0.869
N5 0.682 0.750 0.406
N6 0.903 0.750 0.136

Results
DOS at the Fermi energy   0.6697 states/eV per atom
Density   8.1 g/cm³
Formation energy without anion corrections   -1.165 eV per atom
Final energy   -9.94 eV/atom

No. 12
Sc2UNbN4 | PBE-GGA | optimized geometry

Unit cell a=5.516 b=3.235 c=5.685 alpha=90.00 beta=108.72 gamma=90.00
Fractional coordinates of all 8 atoms:
Sc1 0.000 0.000 0.000
Sc2 0.500 0.500 0.000
U1 0.000 0.500 0.500
Nb1 0.500 0.000 0.500
N1 0.249 0.500 0.250
N2 0.254 0.000 0.760
N3 0.746 0.000 0.240
N4 0.751 0.500 0.750

Results
DOS at the Fermi energy   0.5524 states/eV per atom
Density   8.2 g/cm³
Formation energy without anion corrections   -1.565 eV per atom
Final energy   -9.98 eV/atom

- Which value of final energy does entry 1 give?
  -9.09 eV/atom

- The lowest DOS at the Fermi energy belongs to which entry?
  Sc3TiNb3N8